[1]
A relaxed MgTi2AgC crystal. Source: Alexandria via LeMat-Bulk, functional PBE-GGA. Values from VASP.

Size of the total moment ... 0.00 μB per atom
Formation energy from the elements ... -0.1567 eV per atom
E_tot ... -6.049 eV per atom
Space group ... P4/mmm
Calculated density ... 5.15 g/cm³

```
&SYSTEM
  ibrav = 0, nat = 5, ntyp = 4
/
ATOMIC_SPECIES
Mg 24.30 Mg.upf
C 12.01 C.upf
Ag 107.87 Ag.upf
Ti 47.87 Ti.upf
CELL_PARAMETERS angstrom
-2.907 2.482 1.724
-2.928 -1.721 -2.460
-0.786 -3.053 3.071
ATOMIC_POSITIONS angstrom
Mg -0.393 -1.526 1.535
C 0.000 0.000 0.000
Ag -3.310 -1.146 1.167
Ti -1.464 -0.860 -1.230
Ti -1.454 1.241 0.862
```


[2]
A relaxed La4GePb2 crystal. Source: Alexandria via LeMat-Bulk, functional PBE-GGA. Values from VASP.

Energy above the most stable polymorph in this dataset ... 100 meV per atom
Size of the total moment ... 0.00 μB per atom
Formation energy from the elements ... -0.4329 eV per atom
E_tot ... -4.968 eV per atom
Space group ... I4/mmm
Calculated density ... 6.46 g/cm³

```
&SYSTEM
  ibrav = 0, nat = 7, ntyp = 3
/
ATOMIC_SPECIES
Pb 207.20 Pb.upf
Ge 72.64 Ge.upf
La 138.91 La.upf
CELL_PARAMETERS angstrom
5.596 0.000 0.000
0.000 5.596 0.000
2.798 2.798 8.555
ATOMIC_POSITIONS angstrom
Pb 2.798 2.798 2.251
Pb 5.596 5.596 6.304
Ge 0.000 0.000 0.000
La 2.798 2.798 5.539
La 5.596 5.596 3.016
La 0.000 2.798 0.000
La 2.798 0.000 0.000
```


[3]
A relaxed MgZnGa3 crystal. Source: Alexandria via LeMat-Bulk, functional PBE-GGA. Values from VASP.

Energy above the most stable polymorph in this dataset ... 305 meV per atom
Size of the total moment ... 0.00 μB per atom
Formation energy from the elements ... 0.2696 eV per atom
E_tot ... -2.120 eV per atom
Space group ... Pm-3m
Calculated density ... 4.29 g/cm³

```
&SYSTEM
  ibrav = 0, nat = 5, ntyp = 3
/
ATOMIC_SPECIES
Zn 65.41 Zn.upf
Mg 24.30 Mg.upf
Ga 69.72 Ga.upf
CELL_PARAMETERS angstrom
-2.540 -2.388 3.407
-0.493 -3.791 -3.024
4.131 -1.920 1.734
ATOMIC_POSITIONS angstrom
Zn 0.000 0.000 0.000
Mg 0.549 -4.049 1.058
Ga -0.246 -1.895 -1.512
Ga 2.065 -0.960 0.867
Ga -1.270 -1.194 1.703
```


[4]
A relaxed CaTl2Si crystal. Source: Alexandria via LeMat-Bulk, functional PBE-GGA. Values from VASP.

Energy above the most stable polymorph in this dataset ... 15 meV per atom
Size of the total moment ... 0.00 μB per atom
E_tot ... -3.080 eV per atom
Space group ... Pmmm
Calculated density ... 7.82 g/cm³

```
&SYSTEM
  ibrav = 0, nat = 4, ntyp = 3
/
ATOMIC_SPECIES
Ca 40.08 Ca.upf
Si 28.09 Si.upf
Tl 204.38 Tl.upf
CELL_PARAMETERS angstrom
4.562 0.000 0.000
0.000 4.609 0.000
0.000 0.000 4.814
ATOMIC_POSITIONS angstrom
Ca 2.281 0.000 2.407
Si 0.000 2.305 2.407
Tl 0.000 0.000 0.000
Tl 2.281 2.305 0.000
```


[5]
A relaxed TaIrSe2Br crystal. Source: Alexandria via LeMat-Bulk, functional PBE-GGA. Values from VASP.

Energy above the most stable polymorph in this dataset ... 0 meV per atom
Size of the total moment ... 0.51 μB per atom
E_tot ... -4.965 eV per atom
Space group ... P4/mmm
Calculated density ... 8.02 g/cm³

```
&SYSTEM
  ibrav = 0, nat = 5, ntyp = 4
/
ATOMIC_SPECIES
Ir 192.22 Ir.upf
Se 78.96 Se.upf
Br 79.90 Br.upf
Ta 180.95 Ta.upf
CELL_PARAMETERS angstrom
5.003 0.000 0.000
0.000 5.003 0.000
0.000 0.000 5.051
ATOMIC_POSITIONS angstrom
Ir 2.502 2.502 2.526
Se 0.000 2.502 0.000
Se 2.502 0.000 0.000
Br 0.000 0.000 2.526
Ta 0.000 0.000 0.000
```


[6]
A relaxed MnFe2Co2 crystal. Source: Alexandria via LeMat-Bulk, functional PBE-GGA. Values from VASP.

Energy above the most stable polymorph in this dataset ... 0 meV per atom
Size of the total moment ... 1.39 μB per atom
Formation energy from the elements ... 0.3407 eV per atom
E_tot ... -7.721 eV per atom
Space group ... P4/mbm
Calculated density ... 8.29 g/cm³

```
&SYSTEM
  ibrav = 0, nat = 10, ntyp = 3
/
ATOMIC_SPECIES
Mn 54.94 Mn.upf
Co 58.93 Co.upf
Fe 55.84 Fe.upf
CELL_PARAMETERS angstrom
6.627 0.000 0.000
0.000 6.627 0.000
0.000 0.000 2.595
ATOMIC_POSITIONS angstrom
Mn 0.000 0.000 0.000
Mn 3.314 3.314 0.000
Co 2.432 5.745 0.000
Co 5.745 4.196 0.000
Co 4.196 0.882 0.000
Co 0.882 2.432 0.000
Fe 1.103 4.417 1.297
Fe 4.417 5.524 1.297
Fe 5.524 2.211 1.297
Fe 2.211 1.103 1.297
```


[7]
A relaxed Y2BiOsC crystal. Source: Alexandria via LeMat-Bulk, functional PBE-GGA. Values from VASP.

Size of the total moment ... 0.00 μB per atom
Formation energy from the elements ... -0.3790 eV per atom
E_tot ... -7.832 eV per atom
Space group ... P4/mmm
Calculated density ... 9.37 g/cm³

```
&SYSTEM
  ibrav = 0, nat = 5, ntyp = 4
/
ATOMIC_SPECIES
Y 88.91 Y.upf
C 12.01 C.upf
Os 190.23 Os.upf
Bi 208.98 Bi.upf
CELL_PARAMETERS angstrom
5.121 0.000 0.000
0.000 5.121 0.000
0.000 0.000 3.978
ATOMIC_POSITIONS angstrom
Y 0.000 2.561 0.000
Y 2.561 0.000 0.000
C 0.000 0.000 0.000
Os 0.000 0.000 1.989
Bi 2.561 2.561 1.989
```


[8]
A relaxed Rb2SnI2Br4 crystal. Source: Alexandria via LeMat-Bulk, functional PBE-GGA. Values from VASP.

Size of the total moment ... 0.00 μB per atom
E_tot ... -2.821 eV per atom
Space group ... I4/mmm
Calculated density ... 3.97 g/cm³

```
&SYSTEM
  ibrav = 0, nat = 9, ntyp = 4
/
ATOMIC_SPECIES
Rb 85.47 Rb.upf
Sn 118.71 Sn.upf
I 126.90 I.upf
Br 79.90 Br.upf
CELL_PARAMETERS angstrom
7.987 -0.078 -0.113
-3.902 6.969 0.113
-3.902 -2.343 6.564
ATOMIC_POSITIONS angstrom
Rb 0.091 4.602 1.669
Rb 0.091 -0.054 4.895
Sn 0.000 0.000 0.000
I -5.815 3.447 4.975
I -1.989 1.179 1.702
Br -3.902 4.777 1.631
Br -1.740 3.496 5.046
Br -3.902 -0.152 5.046
Br 1.923 1.052 1.518
```


[9]
A relaxed LiSmBiIr crystal. Source: Alexandria via LeMat-Bulk, functional PBE-GGA. Values from VASP.

Size of the total moment ... 0.00 μB per atom
Formation energy from the elements ... -0.5410 eV per atom
E_tot ... -5.385 eV per atom
Space group ... F-43m
Calculated density ... 11.43 g/cm³

```
&SYSTEM
  ibrav = 0, nat = 4, ntyp = 4
/
ATOMIC_SPECIES
Ir 192.22 Ir.upf
Bi 208.98 Bi.upf
Sm 150.36 Sm.upf
Li 6.94 Li.upf
CELL_PARAMETERS angstrom
-2.339 0.488 4.230
-3.679 -2.978 1.099
0.542 -3.351 3.476
ATOMIC_POSITIONS angstrom
Ir -2.738 -2.920 4.403
Bi -4.107 -4.380 6.605
Sm -1.369 -1.460 2.202
Li 0.000 0.000 0.000
```


[10]
A relaxed LiDyZnCu crystal. Source: Alexandria via LeMat-Bulk, functional PBE-GGA. Values from VASP.

Size of the total moment ... 0.00 μB per atom
Formation energy from the elements ... -0.1464 eV per atom
E_tot ... -3.118 eV per atom
Space group ... F-43m
Calculated density ... 7.15 g/cm³

```
&SYSTEM
  ibrav = 0, nat = 4, ntyp = 4
/
ATOMIC_SPECIES
Zn 65.41 Zn.upf
Li 6.94 Li.upf
Cu 63.55 Cu.upf
Dy 162.50 Dy.upf
CELL_PARAMETERS angstrom
-1.943 3.721 -1.905
-4.408 -0.134 -1.343
-3.192 2.379 2.325
ATOMIC_POSITIONS angstrom
Zn -4.771 2.983 -0.461
Li -7.157 4.474 -0.692
Cu -2.386 1.491 -0.231
Dy 0.000 0.000 0.000
```


[11]
A relaxed HfAsN2 crystal. Source: Alexandria via LeMat-Bulk, functional PBE-GGA. Values from VASP.

Size of the total moment ... 0.00 μB per atom
E_tot ... -8.401 eV per atom
Space group ... R-3m
Calculated density ... 8.23 g/cm³

```
&SYSTEM
  ibrav = 0, nat = 4, ntyp = 3
/
ATOMIC_SPECIES
As 74.92 As.upf
Hf 178.49 Hf.upf
N 14.01 N.upf
CELL_PARAMETERS angstrom
0.986 5.806 2.778
3.139 5.694 0.358
0.060 6.507 -0.248
ATOMIC_POSITIONS angstrom
As 0.000 0.000 0.000
Hf 2.093 9.004 1.444
N 3.739 16.086 2.580
N 0.447 1.921 0.308
```